(1)
# K4SbPAu2

A relaxed structure of K4SbPAu2 (GGA-PBE, OQMD via LeMat-Bulk).

Structure (POSCAR):
```
K4SbPAu2
1.0
6.5470 0.0000 0.0000
0.0000 5.1234 3.8272
0.0000 -5.1234 3.8272
K Sb P Au
4 1 1 2
direct
0.0000 0.1685 0.8315 K
0.0000 0.8315 0.1685 K
0.5000 0.1328 0.4866 K
0.5000 0.4866 0.1328 K
0.0000 0.4078 0.4078 Sb
0.5000 0.9184 0.9184 P
0.2641 0.6776 0.6776 Au
0.7359 0.6776 0.6776 Au
```

## Properties
V = 32.09 A^3/atom
Symmetry = No. 38
Calculated total energy = -3.061 eV per atom

(2)
# BaGa4Au4

A relaxed structure of BaGa4Au4 (GGA-PBE, OQMD via LeMat-Bulk).

Structure (POSCAR):
```
BaGa4Au4
1.0
6.5867 0.0000 0.0000
0.0000 6.5867 0.0000
0.0000 0.0000 8.9828
Ba Ga Au
2 8 8
direct
0.2500 0.7500 0.2500 Ba
0.7500 0.2500 0.7500 Ba
0.0191 0.2500 0.1278 Ga
0.2500 0.0191 0.6278 Ga
0.2500 0.4809 0.6278 Ga
0.4809 0.2500 0.1278 Ga
0.5191 0.7500 0.8722 Ga
0.7500 0.5191 0.3722 Ga
0.7500 0.9809 0.3722 Ga
0.9809 0.7500 0.8722 Ga
0.0375 0.2500 0.4219 Au
0.2500 0.0375 0.9219 Au
0.2500 0.4625 0.9219 Au
0.4625 0.2500 0.4219 Au
0.5375 0.7500 0.5781 Au
0.7500 0.5375 0.0781 Au
0.7500 0.9625 0.0781 Au
0.9625 0.7500 0.5781 Au
```

## Properties
V = 21.65 A^3/atom
Symmetry = No. 137
Calculated total energy = -3.456 eV per atom

(3)
# NdSmGaCo2

A relaxed structure of NdSmGaCo2 (GGA-PBE, OQMD via LeMat-Bulk).

Structure (POSCAR):
```
NdSmGaCo2
1.0
4.0018 0.0000 0.0000
0.0000 1.9175 6.6508
0.0000 -1.9175 6.6508
Nd Sm Ga Co
1 1 1 2
direct
0.0000 0.0000 0.0000 Nd
0.0000 0.2604 0.2604 Sm
0.5000 0.6316 0.6316 Ga
0.5000 0.4244 0.4244 Co
0.5000 0.8323 0.8323 Co
```

## Properties
V = 20.41 A^3/atom
Symmetry = No. 38
Calculated total energy = -5.624 eV per atom